Entry from Alexandria: crystalline BeAl2Cd at its relaxed geometry (PBEsol).

Output
Density: 4.46 g/cm3
SG: Cm, No. 8
Size of the total moment: 0.00 Bohr magnetons per cell
ΔE to the lowest computed polymorph: 0.000 eV per atom

Cell lengths 2.781, 4.695, 5.509 Å; angles 107.15, 90.00, 107.23 degrees
Fractional coordinates of all 4 atoms:
1 Be 0.511 0.022 0.413
2 Al 0.000 0.999 0.023
3 Al 0.771 0.543 0.308
4 Cd 0.218 0.436 0.756

Entry from Alexandria: crystalline ScPAu at its relaxed geometry (PBEsol).

Output
Density: 7.96 g/cm3
Raw total energy: -6.04 eV per atom
SG: P6_3mc, No. 186
Size of the total moment: 0.00 Bohr magnetons per cell

Cell lengths 3.962, 3.962, 8.372 Å; angles 90.00, 90.00, 120.00 degrees
Fractional coordinates of all 6 atoms:
1 Sc 0.333 0.667 0.336
2 Sc 0.667 0.333 0.836
3 Au 0.333 0.667 0.662
4 Au 0.667 0.333 0.162
5 P 0.000 0.000 0.028
6 P 0.000 0.000 0.528

Entry from Alexandria: crystalline MoN2F2 at its relaxed geometry (PBEsol).

Output
Density: 5.72 g/cm3
Raw total energy: -5.10 eV per atom
SG: P4/mmm, No. 123
Size of the total moment: 1.57 Bohr magnetons per cell

Cell lengths 3.463, 3.463, 3.920 Å; angles 90.00, 90.00, 90.00 degrees
Fractional coordinates of all 5 atoms:
1 Mo 0.500 0.500 0.500
2 N 0.000 0.500 0.000
3 N 0.500 0.000 0.000
4 F 0.000 0.000 0.000
5 F 0.000 0.000 0.500

Entry from Alexandria: crystalline AgC2 at its relaxed geometry (PBEsol).

Output
Density: 7.42 g/cm3
SG: I4/mmm, No. 139
Size of the total moment: 0.00 Bohr magnetons per cell
ΔE to the lowest computed polymorph: 0.000 eV per atom

Cell lengths 2.486, 2.486, 5.087 Å; angles 104.14, 104.14, 90.00 degrees
Fractional coordinates of all 3 atoms:
1 C 0.260 0.260 0.520
2 C 0.740 0.740 0.480
3 Ag 0.500 0.500 0.000

Entry from Alexandria: crystalline InTeBr at its relaxed geometry (PBEsol).

Output
Density: 6.40 g/cm3
Raw total energy: -2.98 eV per atom
SG: I4mm, No. 107
Size of the total moment: 0.00 Bohr magnetons per cell

Cell lengths 3.449, 3.449, 7.439 Å; angles 103.40, 103.40, 90.00 degrees
Fractional coordinates of all 3 atoms:
1 Te 0.313 0.313 0.626
2 In 0.656 0.656 0.313
3 Br 0.031 0.031 0.061

Entry from Alexandria: crystalline ZrMnI2N at its relaxed geometry (PBEsol).

Output
Density: 5.07 g/cm3
Raw total energy: -6.02 eV per atom
SG: P4/mmm, No. 123
Size of the total moment: 5.59 Bohr magnetons per cell

Cell lengths 3.967, 5.843, 5.843 Å; angles 90.00, 90.00, 90.00 degrees
Fractional coordinates of all 5 atoms:
1 I 0.000 0.000 0.500
2 I 0.000 0.500 0.000
3 Mn 0.500 0.500 0.500
4 N 0.500 0.000 0.000
5 Zr 0.000 0.000 0.000